(1)
An optimized crystal structure of Na3DyTh3S8. Source: the Alexandria database, functional PBE.

The structure in POSCAR format:
```
Na3DyTh3S8
1.0
-1.359 -7.239 -3.372
0.672 0.659 8.044
-6.684 3.010 -3.767
Th S Na Dy
3 8 3 1
Direct
0.500 0.000 0.500 Th
0.000 0.500 0.500 Th
0.500 0.500 0.500 Th
0.239 0.478 0.727 S
0.748 0.495 0.743 S
0.749 0.988 0.727 S
0.252 0.505 0.257 S
0.251 0.012 0.273 S
0.761 0.522 0.273 S
0.239 0.988 0.727 S
0.761 0.012 0.273 S
0.500 0.500 0.000 Na
0.000 0.000 0.000 Na
0.000 0.500 0.000 Na
0.000 0.000 0.500 Dy
```

## Properties
- Formation energy (no corrections): -1.72 eV per atom
- Volume: 25.70 Å³ per atom
- DOS at the Fermi energy: 9.2 states/eV/f.u.
- Electronic total energy: -5.98 eV per atom
- Space group: R-3m (166)

(2)
An optimized crystal structure of Ac3BPb. Source: the Alexandria database, functional PBE.

The structure in POSCAR format:
```
Ac3BPb
1.0
-0.358 -4.970 2.521
5.471 -0.793 -0.787
1.058 2.419 4.920
Ac Pb B
3 1 1
Direct
0.000 0.500 0.000 Ac
0.500 0.000 0.000 Ac
0.000 0.000 0.500 Ac
0.500 0.500 0.500 Pb
0.000 0.000 0.000 B
```

## Properties
- Volume: 34.82 Å³ per atom
- DOS at the Fermi energy: 2.0 states/eV/f.u.
- Electronic total energy: -4.68 eV per atom
- ΔH_f (0 K): -143 meV/atom
- Space group: Pm-3m (221)

(3)
An optimized crystal structure of K2RbTlPt. Source: the Alexandria database, functional PBE.

The structure in POSCAR format:
```
K2RbTlPt
1.0
-3.433 2.874 4.900
-5.645 -2.364 -2.568
0.501 -4.351 2.903
K Pt Tl Rb
2 1 1 1
Direct
0.000 0.500 0.000 K
0.500 0.000 0.000 K
0.000 0.000 0.500 Pt
0.000 0.000 0.000 Tl
0.500 0.500 0.500 Rb
```

## Properties
- E above lowest polymorph: 172 meV/atom
- Volume: 46.31 Å³ per atom
- DOS at the Fermi energy: 2.1 states/eV/f.u.
- Electronic total energy: -2.22 eV per atom
- ΔH_f (0 K): 97 meV/atom
- Space group: P4/mmm (123)

(4)
An optimized crystal structure of TaRh2S. Source: the Alexandria database, functional PBE.

The structure in POSCAR format:
```
TaRh2S
1.0
-5.407 0.749 0.018
-0.748 -5.391 -0.415
-3.117 -2.738 5.293
Rh Ta S
4 2 2
Direct
0.375 0.408 0.750 Rh
0.158 0.625 0.250 Rh
0.875 0.842 0.750 Rh
0.592 0.125 0.250 Rh
0.750 0.250 0.500 Ta
0.000 0.000 0.000 Ta
0.500 0.500 0.000 S
0.250 0.750 0.500 S
```

## Properties
- Formation energy (no corrections): 0.03 eV per atom
- Volume: 20.51 Å³ per atom
- DOS at the Fermi energy: 2.8 states/eV/f.u.
- Electronic total energy: -7.64 eV per atom
- Space group: I-42d (122)